15
Lattice="8.624 -0.002 0.002 -4.314 7.473 -0.036 0.003 -4.958 7.795" Properties=species:S:1:pos:R:3 comment="Na3Dy3GaTe8 | the Alexandria database | PBE-GGA | optimized geometry" e_form_raw_ev_per_atom=-1.003 volume_a3_per_atom=33.4 energy_ev_per_atom=-4.06 pbc="T T T"
Te 2.249 3.806 5.594
Te 6.562 -1.295 2.169
Dy 4.314 -2.480 3.899
Te 4.312 2.622 2.159
Ga 0.001 -2.479 3.898
Dy 2.157 1.256 3.881
Na 2.155 3.735 -0.017
Te 0.000 2.494 2.065
Te 4.313 0.018 5.697
Te 2.064 -1.294 2.167
Te 0.001 -0.109 5.602
Dy -2.156 1.257 3.880
Na 0.000 0.000 0.000
Na -2.157 3.736 -0.018
Te -2.249 3.807 5.593